(1)
InSi2Pt | PBE-GGA | relaxed

Values from the calculation:
DOS at the Fermi energy in states/eV/atom: 0.5109
Spin magnetization in μB per cell: 0.00
ΔE_f (raw) in eV per atom: 0.02

Cell lengths 3.0967, 3.0967, 7.5680 Å; angles 90.00, 90.00, 92.95 degrees
With the nearest neighbours (Å) after each atom.
Atoms (fractional coordinates):
Pt (0.5000, 0.5000, 0.7500)  8 Si 2.60-2.69
Si (0.0000, 0.0000, 0.9457)  4 Pt 2.60-2.69
Si (0.0000, 0.0000, 0.5543)  4 Pt 2.60-2.69
In (0.5000, 0.5000, 0.2500)  4 In 3.10, 8 Si 3.14-3.22

---

(2)
TbPrCd | PBE-GGA | relaxed

Values from the calculation:
Energy of formation in kcal/mol of atoms: -4.5
E above lowest polymorph in meV/atom: 0
DOS at the Fermi energy in states/eV/atom: 1.3203
Spin magnetization in μB per cell: 0.36

Cell lengths 3.7185, 3.7185, 7.0331 Å; angles 105.33, 105.33, 90.00 degrees
With the nearest neighbours (Å) after each atom.
Atoms (fractional coordinates):
Cd (0.6730, 0.6730, 0.3460)  4 Tb 3.24, 4 Pr 3.40
Pr (0.0083, 0.0083, 0.0167)  4 Cd 3.40, 4 Tb 3.61, 4 Pr 3.72
Tb (0.3187, 0.3187, 0.6374)  4 Cd 3.24, 4 Pr 3.61

---

(3)
V2ReMo3 | PBE-GGA | relaxed

Values from the calculation:
Energy of formation in kcal/mol of atoms: 2.2
E above lowest polymorph in meV/atom: 262
DOS at the Fermi energy in states/eV/atom: 0.8006
Spin magnetization in μB per cell: 0.00

Cell lengths 4.3047, 8.9418, 6.6693 Å; angles 130.25, 90.00, 103.93 degrees
With the nearest neighbours (Å) after each atom.
Atoms (fractional coordinates):
V (0.2291, 0.4582, 0.8102)  3 Re 2.56-2.64, 5 Mo 2.68-2.73
V (0.5433, 0.0867, 0.8974)  5 Mo 2.50-2.78, 1 V 2.62, 2 Re 2.62
V (0.7709, 0.5418, 0.1898)  3 Re 2.56-2.64, 5 Mo 2.68-2.73
V (0.4567, 0.9133, 0.1026)  5 Mo 2.50-2.78, 1 V 2.62, 2 Re 2.62
Re (0.1562, 0.3124, 0.0407)  5 V 2.56-2.64, 2 Mo 2.67-2.73
Re (0.8438, 0.6876, 0.9593)  5 V 2.56-2.64, 2 Mo 2.67-2.73
Mo (0.0721, 0.1442, 0.2700)  3 V 2.63-2.71, 3 Mo 2.66-2.69, 1 Re 2.73
Mo (0.9279, 0.8558, 0.7300)  3 V 2.63-2.71, 3 Mo 2.66-2.69, 1 Re 2.73
Mo (0.3099, 0.6199, 0.5730)  2 V 2.64-2.73, 5 Mo 2.66-2.69, 1 Re 2.67
Mo (0.6093, 0.2187, 0.6590)  5 V 2.50-2.78, 1 Mo 2.69
Mo (0.3907, 0.7813, 0.3410)  5 V 2.50-2.78, 1 Mo 2.69
Mo (0.6901, 0.3801, 0.4270)  2 V 2.64-2.73, 5 Mo 2.66-2.69, 1 Re 2.67

---

(4)
LaTiAlO4 | PBE-GGA | relaxed

Values from the calculation:
DOS at the Fermi energy in states/eV/atom: 0.9954
Spin magnetization in μB per cell: 0.37
ΔE_f (raw) in eV per atom: -2.34

Cell lengths 5.8141, 5.8141, 5.8141 Å; angles 60.00, 60.00, 60.00 degrees
With the nearest neighbours (Å) after each atom.
Atoms (fractional coordinates):
O (0.8811, 0.3730, 0.3730)  1 Al 1.75, 1 Ti 1.81
O (0.3730, 0.3730, 0.3730)  1 Al 1.75, 1 Ti 1.81
O (0.3730, 0.3730, 0.8811)  1 Al 1.75, 1 Ti 1.81
O (0.3730, 0.8811, 0.3730)  1 Al 1.75, 1 Ti 1.81
Al (0.2500, 0.2500, 0.2500)  4 O 1.75
La (0.7500, 0.7500, 0.7500)  12 O 3.41, 4 Ti 3.56
Ti (0.5000, 0.5000, 0.5000)  4 O 1.81

---

(5)
Na2Ge2H7 | PBE-GGA | relaxed

Values from the calculation:
Raw total energy in eV/f.u.: -33.87
DOS at the Fermi energy in states/eV/atom: 0.2077
Spin magnetization in μB per cell: 0.00

Cell lengths 4.3162, 5.7706, 5.7706 Å; angles 81.02, 93.24, 93.24 degrees
With the nearest neighbours (Å) after each atom.
Atoms (fractional coordinates):
Ge (0.4455, 0.2134, 0.2134)  3 H 1.61-1.62
Ge (0.5545, 0.7866, 0.7866)  3 H 1.61-1.62
H (0.7487, 0.8806, 0.5584)  1 Ge 1.61
H (0.2513, 0.4416, 0.1194)  1 Ge 1.61
H (0.2805, 0.6496, 0.6496)  1 Ge 1.62
H (0.7195, 0.3504, 0.3504)  1 Ge 1.62
H (0.5000, 0.0000, 0.0000)  2 Ge 1.90
H (0.2513, 0.1194, 0.4416)  1 Ge 1.61
H (0.7487, 0.5584, 0.8806)  1 Ge 1.61
Na (0.0000, 0.2618, 0.7382)  4 H 2.35-2.48
Na (0.0000, 0.7382, 0.2618)  4 H 2.35-2.48

---

(6)
TcSb3Ir | PBE-GGA | relaxed

Values from the calculation:
E above lowest polymorph in meV/atom: 0
DOS at the Fermi energy in states/eV/atom: 0.8531
Spin magnetization in μB per cell: 0.00
ΔE_f (raw) in eV per atom: 1.00

Cell lengths 5.0318, 5.0318, 5.0318 Å; angles 90.00, 90.00, 90.00 degrees
With the nearest neighbours (Å) after each atom.
Atoms (fractional coordinates):
Tc (0.0000, 0.0000, 0.0000)  6 Sb 2.52
Sb (0.5000, 0.0000, 0.0000)  2 Tc 2.52
Sb (0.0000, 0.0000, 0.5000)  2 Tc 2.52
Sb (0.0000, 0.5000, 0.0000)  2 Tc 2.52
Ir (0.5000, 0.5000, 0.5000)  12 Sb 3.56